1.
# Tm2Ru3Rh

Crystalline Tm2Ru3Rh at its relaxed geometry (PBE, the Alexandria database).

```
Tm2Ru3Rh
1.0
-4.175 1.786 -2.554
3.454 -3.028 -2.457
-0.680 -3.824 3.757
Ru Tm Rh
3 2 1
direct
0.500 0.000 0.500
0.000 0.000 0.500
0.500 0.500 0.500
0.244 0.622 0.866
0.756 0.378 0.134
0.000 0.000 0.000
```

Summary:
Space group   R-3m (166)
Formation energy from the elements   -463 meV per atom
Total DFT energy (no corrections)   -7.82 eV/atom

---

2.
# Ce4Te5F

Crystalline Ce4Te5F at its relaxed geometry (PBE, the Alexandria database).

```
Ce4Te5F
1.0
4.220 0.000 0.000
0.000 7.550 -2.124
-2.110 -3.519 11.200
Te Ce F
5 4 1
direct
0.144 0.327 0.287
0.856 0.673 0.713
0.163 0.868 0.325
0.500 0.500 0.000
0.837 0.132 0.675
0.723 0.219 0.447
0.023 0.831 0.046
0.277 0.781 0.553
0.977 0.169 0.954
0.500 0.000 0.000
```

Summary:
Space group   C2/m (12)
Total DFT energy (no corrections)   -5.64 eV/atom
Formation energy (no corrections)   -1504 meV per atom

---

3.
# YMg4Zr

Crystalline YMg4Zr at its relaxed geometry (PBE, the Alexandria database).

```
YMg4Zr
1.0
-3.568 -4.033 2.389
-3.150 1.327 4.798
-5.844 0.634 -0.395
Mg Zr Y
4 1 1
direct
0.374 0.877 0.374
0.374 0.374 0.374
0.374 0.374 0.877
0.877 0.374 0.374
0.000 0.000 0.000
0.750 0.750 0.750
```

Summary:
Space group   F-43m (216)
Formation energy from the elements   40 meV per atom
Total DFT energy (no corrections)   -3.52 eV/atom

---

4.
# SiHg2Os

Crystalline SiHg2Os at its relaxed geometry (PBE, the Alexandria database).

```
SiHg2Os
1.0
-2.600 0.731 -1.510
-1.677 -1.086 2.362
0.071 7.081 3.306
Os Si Hg
1 1 2
direct
0.000 0.000 0.555
0.500 0.500 0.689
0.000 0.000 0.970
0.500 0.500 0.286
```

Summary:
Space group   P4mm (99)
Total DFT energy (no corrections)   -4.02 eV/atom
Formation energy (no corrections)   293 meV per atom

---

5.
# Na2RuO

Crystalline Na2RuO at its relaxed geometry (PBE, the Alexandria database).

```
Na2RuO
1.0
-8.674 3.403 -2.782
-4.140 -4.257 7.701
-6.119 1.142 3.482
Na Ru O
4 2 2
direct
0.308 0.625 0.250
0.375 0.558 0.750
0.875 0.692 0.750
0.442 0.125 0.250
0.750 0.250 0.500
0.000 0.000 0.000
0.250 0.750 0.500
0.500 0.500 0.000
```

Summary:
Space group   I-42d (122)
Total DFT energy (no corrections)   -4.50 eV/atom
Formation energy (no corrections)   -285 meV per atom

---

6.
# KTl2Cu2F7

Crystalline KTl2Cu2F7 at its relaxed geometry (PBE, the Alexandria database).

```
KTl2Cu2F7
1.0
4.135 -0.002 0.007
0.003 4.135 0.007
2.027 2.025 11.053
F Cu Tl K
7 2 2 1
direct
0.321 0.321 0.363
0.589 0.089 0.819
0.911 0.411 0.181
0.679 0.679 0.637
0.500 0.500 0.000
0.089 0.589 0.819
0.411 0.911 0.181
0.409 0.409 0.183
0.591 0.591 0.817
0.817 0.817 0.368
0.183 0.183 0.632
0.000 0.000 0.000
```

Summary:
Space group   C2/m (12)
Total DFT energy (no corrections)   -4.12 eV/atom
Formation energy (no corrections)   -1862 meV per atom

---

7.
# La2PmNpP4

Crystalline La2PmNpP4 at its relaxed geometry (PBE, the Alexandria database).

```
La2PmNpP4
1.0
-3.242 -1.551 -2.067
3.489 -6.235 -0.793
-3.819 -0.170 6.115
La Np Pm P
2 1 1 4
direct
0.000 0.500 0.500
0.500 0.000 0.500
0.000 0.000 0.000
0.500 0.500 0.000
0.500 0.237 0.232
0.000 0.754 0.237
0.500 0.763 0.768
0.000 0.246 0.763
```

Summary:
Space group   P2/m (10)
Formation energy from the elements   -1370 meV per atom
Total DFT energy (no corrections)   -7.52 eV/atom

---

8.
# ScOs3Pt

Crystalline ScOs3Pt at its relaxed geometry (PBE, the Alexandria database).

```
ScOs3Pt
1.0
4.554 0.000 0.000
0.000 4.554 0.000
0.000 0.000 4.554
Os Sc Pt
3 1 1
direct
0.500 0.000 0.000
0.000 0.000 0.500
0.000 0.500 0.000
0.000 0.000 0.000
0.500 0.500 0.500
```

Summary:
Offset from the most stable computed form   0.425 eV/atom
Space group   Pm-3m (221)
Formation energy from the elements   2357 meV per atom
Total DFT energy (no corrections)   -6.86 eV/atom